A relaxed AlCu2As crystal. Source: Alexandria via LeMat-Bulk, functional PBE-GGA.

Total DFT energy (no corrections) = -16.4 eV per formula unit
Energy above the lowest structure with this stoichiometry = 35 meV/atom
ΔE_f = 35 meV/atom

Cell: 2.6596 3.7623 6.0507 Å, 90.00 90.00 90.00°
Sites, in units of the cell vectors:
Al (0.0000, 0.0000, 0.0000)
Cu (0.5000, 0.5000, 0.2075)
Cu (0.5000, 0.5000, 0.7925)
As (0.5000, 0.0000, 0.5000)